LiCo2Cl6: relaxed, PBE-GGA.

Unit cell a=6.1131 b=9.8145 c=9.8145 alpha=90.73 beta=107.35 gamma=107.35
Last column: nearest neighbours and their distance in Å.
Fractional positions:
Co 0.3515 0.8284 0.6628  4 Cl 2.17-2.26
Cl 0.6065 0.4436 0.7678  1 Co 2.18, 1 Li 2.40
Cl 0.2902 0.1960 0.3317  2 Co 2.26
Cl 0.9080 0.7592 0.0419  1 Co 2.17, 1 Li 2.41
Cl 0.7098 0.8040 0.6683  2 Co 2.26
Li 0.2500 0.7580 0.2420  4 Cl 2.40-2.41
Cl 0.1065 0.7678 0.4436  1 Co 2.18, 1 Li 2.40
Cl 0.5920 0.9581 0.2408  1 Co 2.17, 1 Li 2.41
Cl 0.0920 0.2408 0.9581  1 Co 2.17, 1 Li 2.41
Cl 0.3935 0.5564 0.2322  1 Co 2.18, 1 Li 2.40
Cl 0.7902 0.3317 0.1960  2 Co 2.26
Co 0.6485 0.1716 0.3372  4 Cl 2.17-2.26
Cl 0.4080 0.0419 0.7592  1 Co 2.17, 1 Li 2.41
Co 0.8515 0.6628 0.8284  4 Cl 2.17-2.26
Cl 0.2098 0.6683 0.8040  2 Co 2.26
Cl 0.8935 0.2322 0.5564  1 Co 2.18, 1 Li 2.40
Co 0.1485 0.3372 0.1716  4 Cl 2.17-2.26
Li 0.7500 0.2420 0.7580  4 Cl 2.40-2.41

Uncorrected formation energy ... -0.8160 eV per atom
Crystal system ... monoclinic
Energy ... -3.839 eV per atom


Tc2NiGe: relaxed, PBE-GGA.

Unit cell a=2.7496 b=2.7496 c=9.1960 alpha=81.40 beta=81.40 gamma=60.00
Last column: nearest neighbours and their distance in Å.
Fractional positions:
Tc 0.0896 0.0896 0.7313  1 Ni 2.43, 3 Ge 2.63
Ge 0.5000 0.5000 0.5000  6 Tc 2.63, 6 Ge 2.75
Ni 0.0000 0.0000 0.0000  2 Tc 2.43
Tc 0.9104 0.9104 0.2687  1 Ni 2.43, 3 Ge 2.63

DFT formation energy ... 0.580 eV per atom
Crystal system ... trigonal
Energy ... -7.203 eV per atom


YEr2Ge: relaxed, PBE-GGA.

Unit cell a=3.6161 b=3.6161 c=10.2250 alpha=79.81 beta=79.81 gamma=60.00
Last column: nearest neighbours and their distance in Å.
Fractional positions:
Er 0.2656 0.2656 0.2031  3 Ge 2.91
Er 0.7344 0.7344 0.7969  3 Ge 2.91
Ge 0.0000 0.0000 0.0000  6 Er 2.91
Y 0.5000 0.5000 0.5000  6 Y 3.62, 6 Er 3.63

DFT formation energy ... -0.222 eV per atom
Crystal system ... trigonal
Energy ... -5.274 eV per atom


LiTlSi: relaxed, PBE-GGA.

Unit cell a=3.7079 b=9.1516 c=9.1516 alpha=154.57 beta=90.00 gamma=90.00
Last column: nearest neighbours and their distance in Å.
Fractional positions:
Li 0.0000 0.7810 0.2190  6 Si 2.82-2.90
Li 0.0000 0.9967 0.0033  1 Si 2.98, 8 Tl 3.20-3.22
Si 0.5000 0.2440 0.7560  2 Si 2.34
Si 0.0000 0.1639 0.8361  2 Si 2.34
Tl 0.5000 0.4013 0.5987  1 Si 2.81
Tl 0.5000 0.5892 0.4108  4 Si 3.04, 4 Li 3.20, 1 Tl 3.36

Uncorrected formation energy ... 0.0150 eV per atom
Crystal system ... orthorhombic
Energy ... -3.219 eV per atom


Pr6BiRu2: relaxed, PBE-GGA.

Unit cell a=5.1364 b=5.9985 c=9.6770 alpha=79.20 beta=90.00 gamma=115.35
Last column: nearest neighbours and their distance in Å.
Fractional positions:
Ru 0.6161 0.2322 0.9026  2 Pr 2.67-2.80, 1 Ru 2.81
Ru 0.3839 0.7678 0.0974  2 Pr 2.67-2.80, 1 Ru 2.81
Pr 0.7091 0.4182 0.1519  1 Ru 2.80
Pr 0.2909 0.5818 0.8481  1 Ru 2.80
Pr 0.0302 0.0604 0.1532  2 Ru 3.12, 4 Pr 3.17-3.48, 1 Bi 3.30
Pr 0.3364 0.6728 0.3797  1 Ru 2.67
Pr 0.9698 0.9396 0.8468  2 Ru 3.12, 4 Pr 3.17-3.48, 1 Bi 3.30
Bi 0.0000 0.0000 0.5000  8 Pr 3.30-3.59
Pr 0.6636 0.3272 0.6203  1 Ru 2.67

DFT formation energy ... -0.263 eV per atom
Crystal system ... monoclinic
Energy ... -5.942 eV per atom


Ca6Sn2Ge: relaxed, PBE-GGA.

Unit cell a=4.7061 b=8.2903 c=8.2897 alpha=120.00 beta=90.00 gamma=90.00
Last column: nearest neighbours and their distance in Å.
Fractional positions:
Sn 0.0000 0.3333 0.6666  9 Ca 3.18-3.43
Ca 0.5000 0.5865 0.0000  1 Ge 3.43, 4 Sn 3.43, 6 Ca 3.67-3.80
Ge 0.5000 0.0000 0.0000  9 Ca 3.12-3.43
Ca 0.5000 0.4135 0.4133  1 Ge 3.43, 4 Sn 3.43, 6 Ca 3.67-3.80
Ca 0.0000 0.9999 0.2468  2 Ge 3.12, 2 Sn 3.18
Sn 0.0000 0.6667 0.3334  9 Ca 3.18-3.43
Ca 0.0000 0.7531 0.7532  2 Ge 3.12, 2 Sn 3.18
Ca 0.0000 0.2468 0.0000  2 Ge 3.12, 2 Sn 3.18
Ca 0.5000 0.0002 0.5867  1 Ge 3.43, 4 Sn 3.43, 6 Ca 3.67-3.80

DFT formation energy ... -0.612 eV per atom
Crystal system ... hexagonal
Energy ... -3.349 eV per atom